1.
A plane-wave DFT calculation with GGA-PBE was carried out for a relaxed structure of ZnSn2S4.

Properties
The calculation puts the calculated total energy at -113.1 eV for the cell shown. Its space group is P4_122 (91).

abc: 7.816 7.816 10.832
angles: 90.00 90.00 90.00
Positions (direct):
Zn  0.000  0.243  0.000
Zn  0.000  0.757  0.500
Zn  0.243  0.000  0.750
Zn  0.757  0.000  0.250
Sn  0.235  0.235  0.375
Sn  0.235  0.765  0.125
Sn  0.253  0.500  0.750
Sn  0.500  0.253  0.000
Sn  0.500  0.747  0.500
Sn  0.747  0.500  0.250
Sn  0.765  0.235  0.625
Sn  0.765  0.765  0.875
S  0.022  0.236  0.767
S  0.022  0.764  0.733
S  0.232  0.492  0.007
S  0.232  0.508  0.493
S  0.236  0.022  0.983
S  0.236  0.978  0.517
S  0.492  0.232  0.743
S  0.492  0.768  0.757
S  0.508  0.232  0.257
S  0.508  0.768  0.243
S  0.764  0.022  0.017
S  0.764  0.978  0.483
S  0.768  0.492  0.993
S  0.768  0.508  0.507
S  0.978  0.236  0.233
S  0.978  0.764  0.267

2.
A plane-wave DFT calculation with GGA-PBE was carried out for a relaxed structure of Zn2As.

Properties
The calculation puts the calculated total energy at -12.9 eV for the cell shown. Its space group is Fd-3m (227).

abc: 5.216 5.216 5.216
angles: 60.00 60.00 60.00
Positions (direct):
Zn  0.000  0.000  0.000
Zn  0.000  0.000  0.500
Zn  0.000  0.500  0.000
Zn  0.500  0.000  0.000
As  0.375  0.375  0.375
As  0.625  0.625  0.625

3.
A plane-wave DFT calculation with GGA-PBE was carried out for a relaxed structure of Rb2CdCuBr6.

Properties
The calculation puts the calculated total energy at -26.6 eV for the cell shown. Its space group is Fm-3m (225).

abc: 7.605 7.605 7.605
angles: 60.00 60.00 60.00
Positions (direct):
Rb  0.250  0.250  0.250
Rb  0.750  0.750  0.750
Cd  0.000  0.000  0.000
Cu  0.500  0.500  0.500
Br  0.258  0.258  0.742
Br  0.258  0.742  0.258
Br  0.258  0.742  0.742
Br  0.742  0.258  0.258
Br  0.742  0.258  0.742
Br  0.742  0.742  0.258